! PBE-GGA FeAgAs2, relaxed; values from VASP
! * energy relative to the lowest polymorph listed for this composition: 189 meV per atom
! * ΔH_f (0 K): 0.238 eV per atom
&SYSTEM
  ibrav = 0, nat = 4, ntyp = 3
/
ATOMIC_SPECIES
Ag 107.87 Ag.upf
As 74.92 As.upf
Fe 55.84 Fe.upf
ATOMIC_POSITIONS crystal
Ag 0.500 0.500 0.719
As 0.000 0.000 0.956
Fe 0.000 0.000 0.504
As 0.500 0.500 0.322
CELL_PARAMETERS angstrom
-0.197 1.636 -2.230
-2.446 0.914 0.933
4.398 6.961 4.717

! PBE-GGA Cd2AgAs, relaxed; values from VASP
! * ΔH_f (0 K): 0.127 eV per atom
&SYSTEM
  ibrav = 0, nat = 4, ntyp = 3
/
ATOMIC_SPECIES
As 74.92 As.upf
Cd 112.41 Cd.upf
Ag 107.87 Ag.upf
ATOMIC_POSITIONS crystal
As 0.750 0.750 0.750
Cd 0.000 0.000 0.000
Ag 0.500 0.500 0.500
Cd 0.250 0.250 0.250
CELL_PARAMETERS angstrom
-1.198 -1.758 -4.418
-3.851 -2.996 -0.485
-4.064 1.576 -2.246

! PBE-GGA Sc2CrIn, relaxed; values from VASP
! * ΔH_f (0 K): 0.074 eV per atom
&SYSTEM
  ibrav = 0, nat = 4, ntyp = 3
/
ATOMIC_SPECIES
Cr 52.00 Cr.upf
Sc 44.96 Sc.upf
In 114.82 In.upf
ATOMIC_POSITIONS crystal
Cr 0.000 0.000 0.486
Sc 0.500 0.500 0.270
In 0.500 0.500 0.747
Sc 0.000 0.000 0.997
CELL_PARAMETERS angstrom
-2.987 -0.239 -1.248
1.082 -3.659 -1.889
-1.832 -3.114 4.982

! PBE-GGA Sr2Zn5Au5, relaxed; values from VASP
! * ΔH_f (0 K): -0.458 eV per atom
&SYSTEM
  ibrav = 0, nat = 12, ntyp = 3
/
ATOMIC_SPECIES
Zn 65.41 Zn.upf
Au 196.97 Au.upf
Sr 87.62 Sr.upf
ATOMIC_POSITIONS crystal
Zn 0.500 0.748 0.752
Au 0.500 0.000 0.000
Au 0.000 0.500 0.667
Sr 0.000 0.000 0.500
Zn 0.500 0.748 0.248
Sr 0.000 0.500 0.000
Zn 0.500 0.252 0.248
Zn 0.500 0.500 0.500
Au 0.000 0.000 0.816
Au 0.000 0.500 0.333
Au 0.000 0.000 0.184
Zn 0.500 0.252 0.752
CELL_PARAMETERS angstrom
4.445 0.000 0.000
0.000 5.515 0.000
0.000 0.000 10.010

! PBE-GGA SbCl, relaxed; values from VASP
! * energy relative to the lowest polymorph listed for this composition: 479 meV per atom
! * formation energy (no corrections): 0.004 eV per atom
&SYSTEM
  ibrav = 0, nat = 8, ntyp = 2
/
ATOMIC_SPECIES
Cl 35.45 Cl.upf
Sb 121.76 Sb.upf
ATOMIC_POSITIONS crystal
Cl 0.877 0.877 0.500
Cl 0.123 0.123 0.500
Sb 0.165 0.835 0.500
Sb 0.335 0.335 0.000
Sb 0.665 0.665 0.000
Cl 0.623 0.377 0.000
Sb 0.835 0.165 0.500
Cl 0.377 0.623 0.000
CELL_PARAMETERS angstrom
-2.497 1.440 8.995
-1.937 -9.198 0.935
2.978 -0.535 0.912

! PBE-GGA Li2TbY2Tl2, relaxed; values from VASP
! * ΔH_f (0 K): -0.193 eV per atom
&SYSTEM
  ibrav = 0, nat = 7, ntyp = 4
/
ATOMIC_SPECIES
Tl 204.38 Tl.upf
Tb 158.93 Tb.upf
Li 6.94 Li.upf
Y 88.91 Y.upf
ATOMIC_POSITIONS crystal
Tl 0.262 0.262 0.213
Tb 0.000 0.000 0.000
Li 0.397 0.397 0.809
Li 0.603 0.603 0.191
Tl 0.738 0.738 0.787
Y 0.873 0.873 0.380
Y 0.127 0.127 0.620
CELL_PARAMETERS angstrom
4.815 0.000 0.000
2.407 4.170 0.000
2.407 1.390 9.034